Entry 1:
Computed, not measured: a relaxed BaSr7Co4Cu4O24 crystal at the PBE+U level of DFT.

Calculated values
- ρ (g cm⁻³) = 5.7
- E_tot (eV per cell) = -227.5
- crystal system = trigonal

Lattice parameters (Å, degrees): 7.7963 7.7963 7.7963 90.09 90.09 90.09
Last column: nearest neighbours and their distance in Å.
Positions (direct):
Ba  0.0000  0.0000  0.0000  12 O 2.82
Sr  0.5031  0.5031  0.5031  12 O 2.70-2.77
Sr  0.5028  0.5028  0.9986  12 O 2.66-2.78
Sr  0.5028  0.9986  0.5028  12 O 2.66-2.78
Sr  0.5033  0.9989  0.9989  12 O 2.74-2.79
Sr  0.9986  0.5028  0.5028  12 O 2.66-2.78
Sr  0.9989  0.5033  0.9989  12 O 2.74-2.79
Sr  0.9989  0.9989  0.5033  12 O 2.74-2.79
Co  0.2523  0.2523  0.2523  6 O 1.91-1.92
Co  0.2525  0.2525  0.7510  6 O 1.91-1.99
Co  0.2525  0.7510  0.2525  6 O 1.91-1.99
Co  0.7510  0.2525  0.2525  6 O 1.91-1.99
Cu  0.2515  0.7511  0.7511  6 O 1.94-1.98
Cu  0.7511  0.2515  0.7511  6 O 1.94-1.98
Cu  0.7511  0.7511  0.2515  6 O 1.94-1.98
Cu  0.7510  0.7510  0.7510  6 O 1.96
O  0.0018  0.7443  0.7443  2 Cu 1.95-1.96
O  0.0059  0.2560  0.2560  2 Co 1.92-1.99
O  0.0055  0.2573  0.7460  1 Co 1.93, 1 Cu 1.98
O  0.0055  0.7460  0.2573  1 Co 1.93, 1 Cu 1.98
O  0.2507  0.4971  0.7497  1 Co 1.91, 1 Cu 1.98
O  0.2507  0.7497  0.4971  1 Co 1.91, 1 Cu 1.98
O  0.2520  0.2520  0.4967  2 Co 1.91-1.98
O  0.2520  0.4967  0.2520  2 Co 1.91-1.98
O  0.2560  0.0059  0.2560  2 Co 1.92-1.99
O  0.2560  0.2560  0.0059  2 Co 1.92-1.99
O  0.2573  0.0055  0.7460  1 Co 1.93, 1 Cu 1.98
O  0.2573  0.7460  0.0055  1 Co 1.93, 1 Cu 1.98
O  0.4971  0.2507  0.7497  1 Co 1.91, 1 Cu 1.98
O  0.4967  0.2520  0.2520  2 Co 1.91-1.98
O  0.4971  0.7497  0.2507  1 Co 1.91, 1 Cu 1.98
O  0.5002  0.7481  0.7481  2 Cu 1.94-1.96
O  0.7443  0.0018  0.7443  2 Cu 1.95-1.96
O  0.7443  0.7443  0.0018  2 Cu 1.95-1.96
O  0.7461  0.0055  0.2573  1 Co 1.93, 1 Cu 1.98
O  0.7461  0.2573  0.0055  1 Co 1.93, 1 Cu 1.98
O  0.7481  0.5002  0.7481  2 Cu 1.94-1.96
O  0.7481  0.7481  0.5002  2 Cu 1.94-1.96
O  0.7497  0.2507  0.4971  1 Co 1.91, 1 Cu 1.98
O  0.7497  0.4971  0.2507  1 Co 1.91, 1 Cu 1.98

Entry 2:
Computed, not measured: a relaxed V3ZnF crystal at the PBE+U level of DFT.

Calculated values
- polymorph energy (0 for the lowest one) (meV/atom) = 0
- ρ (g cm⁻³) = 4.6
- E_tot (eV per cell) = -23.3
- crystal system = cubic

Lattice parameters (Å, degrees): 4.4187 4.4187 4.4187 90.00 90.00 90.00
Last column: nearest neighbours and their distance in Å.
Positions (direct):
V  0.0000  0.0000  0.5000  2 F 2.21
V  0.0000  0.5000  0.0000  2 F 2.21
V  0.5000  0.0000  0.0000  2 F 2.21
Zn  0.5000  0.5000  0.5000  12 V 3.12
F  0.0000  0.0000  0.0000  6 V 2.21